## K3Ho2CrS6 (PBE-GGA)

Data for an optimized crystal structure of K3Ho2CrS6.

Cell: 6.7655 6.7655 7.6725 Å, 98.50 98.50 120.02°
Last column: nearest neighbours and their distance in Å.
Atoms (fractional coordinates):
K  0.0000  0.0000  0.0000  6 S 3.13-3.31
K  0.3300  0.6700  0.0000  6 S 3.14-3.28
K  0.6700  0.3300  0.0000  6 S 3.14-3.28
Ho  0.1663  0.8337  0.5000  6 S 2.74
Ho  0.8337  0.1663  0.5000  6 S 2.74
Cr  0.5000  0.5000  0.5000  6 S 2.52
S  0.1267  0.4356  0.3069  1 Cr 2.52, 2 Ho 2.74
S  0.2564  0.2564  0.6937  1 Cr 2.52, 2 Ho 2.74
S  0.4356  0.1267  0.3069  1 Cr 2.52, 2 Ho 2.74
S  0.5644  0.8733  0.6931  1 Cr 2.52, 2 Ho 2.74
S  0.7436  0.7436  0.3063  1 Cr 2.52, 2 Ho 2.74
S  0.8733  0.5644  0.6931  1 Cr 2.52, 2 Ho 2.74

Summary:
Total energy   -65.2 eV per cell
SG   C2/m (12)